This record from the Alexandria database describes a geometry-optimized CaAc12Pd6 structure. The functional is PBE.

Cell and atoms, written as CIF:
```
data_CaAc12Pd6
_cell_length_a 11.104
_cell_length_b 11.104
_cell_length_c 11.104
_cell_angle_alpha 90.00
_cell_angle_beta 90.00
_cell_angle_gamma 90.00
_symmetry_space_group_name_H-M 'I m -3'
_symmetry_Int_Tables_number 204
_symmetry_space_group_name_Hall '-I 2 2 3'
loop_
_atom_site_label
_atom_site_type_symbol
_atom_site_fract_x
_atom_site_fract_y
_atom_site_fract_z
Ca1 Ca 0.000 0.000 0.000
Ac1 Ac 0.000 0.183 0.312
Pd1 Pd 0.000 0.372 0.500
```

Output
The formation energy is -0.488 eV/atom. The crystal system is cubic. The total DFT energy (no corrections) comes out at -91.739 eV/f.u.